No. 1
Material: MnMoAu
Method: DFT, PBE
State: optimized geometry

Geometry as POSCAR:
```
MnMoAu
1.0
-0.133 -3.823 1.746
-0.664 -3.386 -2.402
3.119 -2.735 -0.687
Au Mn Mo
1 1 1
Direct
0.500 0.500 0.500
0.750 0.750 0.750
0.000 0.000 0.000
```

## Properties
Space group: F-43m (216)
DFT formation energy in eV/atom: 0.586
E_tot in eV/cell: -21.520

***

No. 2
Material: MnMo3Au
Method: DFT, PBE
State: optimized geometry

Geometry as POSCAR:
```
MnMo3Au
1.0
-2.932 2.803 -1.826
-2.584 -3.440 -1.131
-2.124 0.315 3.896
Mo Mn Au
3 1 1
Direct
0.000 0.500 0.000
0.000 0.000 0.500
0.500 0.000 0.000
0.000 0.000 0.000
0.500 0.500 0.500
```

## Properties
Space group: Pm-3m (221)
DFT formation energy in eV/atom: 1.020
E_tot in eV/cell: -39.840

***

No. 3
Material: Mn2Mo2Au
Method: DFT, PBE
State: optimized geometry

Geometry as POSCAR:
```
Mn2Mo2Au
1.0
-0.642 6.523 -2.556
2.467 -2.192 -6.214
-2.700 -0.603 -0.859
Mo Mn Au
4 4 2
Direct
0.159 0.659 0.500
0.659 0.841 0.500
0.841 0.341 0.500
0.341 0.159 0.500
0.363 0.863 0.000
0.863 0.637 0.000
0.637 0.137 0.000
0.137 0.363 0.000
0.000 0.000 0.000
0.500 0.500 0.000
```

## Properties
Space group: P4/mbm (127)
DFT formation energy in eV/atom: 0.219
E_tot in eV/cell: -84.372

***

No. 4
Material: MnMoAu
Method: DFT, PBE
State: optimized geometry

Geometry as POSCAR:
```
MnMoAu
1.0
-0.190 -0.353 4.488
-0.512 -3.665 -2.572
2.632 -0.422 0.078
Au Mn Mo
1 1 1
Direct
0.000 0.000 0.166
0.333 0.667 0.169
0.667 0.333 0.666
```

## Properties
Space group: P3m1 (156)
DFT formation energy in eV/atom: 0.274
E_tot in eV/cell: -22.457

***

No. 5
Material: Mn2MoAuN
Method: DFT, PBE
State: optimized geometry

Geometry as POSCAR:
```
Mn2MoAuN
1.0
4.065 0.000 0.000
0.000 4.065 0.000
0.000 0.000 4.070
Mo Mn Au N
1 2 1 1
Direct
0.000 0.000 0.500
0.000 0.500 0.000
0.500 0.000 0.000
0.500 0.500 0.500
0.000 0.000 0.000
```

## Properties
Space group: P4/mmm (123)
E_tot in eV/cell: -41.396
Formation energy from raw total energies in meV per atom: -125

***

No. 6
Material: MnMo2AuN
Method: DFT, PBE
State: optimized geometry

Geometry as POSCAR:
```
MnMo2AuN
1.0
4.128 0.000 0.000
0.000 4.128 0.000
0.000 0.000 4.021
Mo Mn Au N
2 1 1 1
Direct
0.000 0.500 0.000
0.500 0.000 0.000
0.000 0.000 0.500
0.500 0.500 0.500
0.000 0.000 0.000
```

## Properties
Space group: P4/mmm (123)
E_tot in eV/cell: -42.954
Formation energy from raw total energies in meV per atom: -104